[1]
Below is a geometry-optimized SrScBeZn2 structure, with properties calculated at the PBEsol level.

a = 5.062 Å, b = 5.062 Å, c = 6.062 Å
α = 90.00°, β = 90.00°, γ = 90.00°
Positions (direct):
Sr (0.000, 0.000, 0.000)
Sc (0.000, 0.000, 0.500)
Be (0.500, 0.500, 0.000)
Zn (0.000, 0.500, 0.500)
Zn (0.500, 0.000, 0.500)

Values from the calculation:
- Calculated volume: 155.3 Å³/cell
- Symmetry: No. 123
- ΔE_f: 1.23 eV/atom
- Magnetic moment: 0.0 μB per formula unit
- Electronic total energy: -1.8909 eV per atom

[2]
Below is a geometry-optimized Sc2TaBe structure, with properties calculated at the PBEsol level.

a = 4.436 Å, b = 5.659 Å, c = 5.659 Å
α = 31.07°, β = 90.00°, γ = 90.00°
Positions (direct):
Sc (0.000, 0.000, 0.000)
Sc (0.500, 0.325, 0.325)
Ta (0.500, 0.602, 0.602)
Be (0.000, 0.723, 0.723)

Values from the calculation:
- Calculated volume: 73.3 Å³/cell
- Symmetry: No. 38
- ΔE_f: 0.22 eV/atom
- Magnetic moment: 0.0 μB per formula unit
- Electronic total energy: -7.2155 eV per atom

[3]
Below is a geometry-optimized Sc2TaBe structure, with properties calculated at the PBEsol level.

a = 4.600 Å, b = 4.600 Å, c = 4.600 Å
α = 60.00°, β = 60.00°, γ = 60.00°
Positions (direct):
Sc (0.000, 0.000, 0.000)
Sc (0.250, 0.250, 0.250)
Ta (0.750, 0.750, 0.750)
Be (0.500, 0.500, 0.500)

Values from the calculation:
- Calculated volume: 68.8 Å³/cell
- Symmetry: No. 216
- ΔE_f: 0.38 eV/atom
- Magnetic moment: 0.0 μB per formula unit
- Electronic total energy: -7.0573 eV per atom

[4]
Below is a geometry-optimized ScTaBe3 structure, with properties calculated at the PBEsol level.

a = 4.379 Å, b = 4.379 Å, c = 4.379 Å
α = 90.00°, β = 90.00°, γ = 90.00°
Positions (direct):
Sc (0.000, 0.000, 0.000)
Ta (0.500, 0.500, 0.500)
Be (0.000, 0.500, 0.500)
Be (0.500, 0.000, 0.500)
Be (0.500, 0.500, 0.000)

Values from the calculation:
- Calculated volume: 84.0 Å³/cell
- Symmetry: No. 221
- ΔE_f: 1.09 eV/atom
- Magnetic moment: 0.0 μB per formula unit
- Electronic total energy: -5.1370 eV per atom

[5]
Below is a geometry-optimized ScBe2Tc2 structure, with properties calculated at the PBEsol level.

a = 6.205 Å, b = 6.205 Å, c = 3.182 Å
α = 90.00°, β = 90.00°, γ = 90.00°
Positions (direct):
Sc (0.000, 0.000, 0.000)
Sc (0.500, 0.500, 0.000)
Be (0.115, 0.385, 0.000)
Be (0.385, 0.885, 0.000)
Be (0.615, 0.115, 0.000)
Be (0.885, 0.615, 0.000)
Tc (0.172, 0.672, 0.500)
Tc (0.328, 0.172, 0.500)
Tc (0.672, 0.828, 0.500)
Tc (0.828, 0.328, 0.500)

Values from the calculation:
- Calculated volume: 122.5 Å³/cell
- Symmetry: No. 127
- ΔE_f: -0.26 eV/atom
- Magnetic moment: 0.0 μB per formula unit
- Electronic total energy: -7.6868 eV per atom

[6]
Below is a geometry-optimized ScBeTc2 structure, with properties calculated at the PBEsol level.

a = 7.715 Å, b = 7.715 Å, c = 7.715 Å
α = 21.91°, β = 21.91°, γ = 21.91°
Positions (direct):
Sc (0.000, 0.000, 0.000)
Be (0.500, 0.500, 0.500)
Tc (0.235, 0.235, 0.235)
Tc (0.765, 0.765, 0.765)

Values from the calculation:
- Calculated volume: 56.1 Å³/cell
- Symmetry: No. 166
- ΔE_f: 0.23 eV/atom
- Magnetic moment: 0.0 μB per formula unit
- Electronic total energy: -8.0572 eV per atom

The highest electronic total energy belongs to which entry? SrScBeZn2